NaCe2PrTl4: relaxed, PBE.

Its formation energy from the elements is -0.239 eV per atom. The value obtained for the total magnetic moment is 2.09 μB/f.u.

Unit cell a=9.6718 b=9.6718 c=9.6718 alpha=32.72 beta=32.72 gamma=32.72
Closest atoms and distances in Å follow each position.
Element x y z (fractional)
Na  0.0000  0.0000  0.0000  8 Tl 3.34-3.40
Ce  0.2553  0.2553  0.2553  8 Tl 3.27-3.61
Ce  0.7447  0.7447  0.7447  8 Tl 3.27-3.61
Pr  0.5000  0.5000  0.5000  8 Tl 3.36-3.44
Tl  0.1238  0.1238  0.1238  3 Pr 3.36, 4 Ce 3.39-3.61, 1 Na 3.40
Tl  0.3745  0.3745  0.3745  4 Ce 3.27-3.30, 3 Na 3.34, 1 Pr 3.44
Tl  0.6255  0.6255  0.6255  4 Ce 3.27-3.30, 3 Na 3.34, 1 Pr 3.44
Tl  0.8762  0.8762  0.8762  3 Pr 3.36, 4 Ce 3.39-3.61, 1 Na 3.40

---

Pr8GeRu3I4: relaxed, PBE.

The value obtained for the raw formation energy is -717 meV per atom. The value obtained for the total magnetic moment is 0.00 μB/f.u.

Unit cell a=8.5352 b=8.5352 c=9.4869 alpha=116.69 beta=116.69 gamma=60.02
Closest atoms and distances in Å follow each position.
Element x y z (fractional)
Pr  0.2130  0.7350  0.6829  2 Ru 2.83, 1 Ge 2.97
Pr  0.2320  0.2320  0.6961  3 Ru 2.93
Pr  0.2651  0.2651  0.3171  2 Ru 2.83, 1 Ge 2.97
Pr  0.2650  0.7870  0.3171  2 Ru 2.83, 1 Ge 2.97
Pr  0.7350  0.2130  0.6829  2 Ru 2.83, 1 Ge 2.97
Pr  0.7349  0.7349  0.6829  2 Ru 2.83, 1 Ge 2.97
Pr  0.7680  0.7680  0.3039  3 Ru 2.93
Pr  0.7870  0.2650  0.3171  2 Ru 2.83, 1 Ge 2.97
Ge  0.5000  0.5000  0.5000  6 Pr 2.97
Ru  0.0000  0.0000  0.5000  6 Pr 2.83-2.93
Ru  0.0000  0.5000  0.5000  6 Pr 2.83-2.93
Ru  0.5000  0.0000  0.5000  6 Pr 2.83-2.93
I  0.0000  0.0000  0.0000  6 Pr 3.49
I  0.0000  0.5000  0.0000  6 Pr 3.49-3.60
I  0.5000  0.0000  0.0000  6 Pr 3.49-3.60
I  0.5000  0.5000  0.0000  6 Pr 3.49-3.60

---

CsBaFe3: relaxed, PBE.

Its formation energy from the elements is 1.934 eV per atom. The value obtained for the total magnetic moment is 9.08 μB/f.u.

Unit cell a=5.7346 b=5.7346 c=5.7346 alpha=90.00 beta=90.00 gamma=90.00
Closest atoms and distances in Å follow each position.
Element x y z (fractional)
Cs  0.0000  0.0000  0.0000  12 Fe 4.06
Ba  0.5000  0.5000  0.5000  6 Fe 2.87
Fe  0.0000  0.5000  0.5000  2 Ba 2.87
Fe  0.5000  0.0000  0.5000  2 Ba 2.87
Fe  0.5000  0.5000  0.0000  2 Ba 2.87

---

AlRuSe: relaxed, PBE.

The value obtained for the raw formation energy is -93 meV per atom. The value obtained for the total magnetic moment is 0.00 μB/f.u.

Unit cell a=4.2065 b=4.2065 c=4.2065 alpha=60.00 beta=60.00 gamma=60.00
Closest atoms and distances in Å follow each position.
Element x y z (fractional)
Al  0.0000  0.0000  0.0000  4 Ru 2.58
Ru  0.2500  0.2500  0.2500  4 Se 2.58, 4 Al 2.58
Se  0.5000  0.5000  0.5000  4 Ru 2.58

---

MnIn3Pt12: relaxed, PBE.

Its formation energy from the elements is -0.370 eV per atom. The value obtained for the total magnetic moment is 3.98 μB/f.u.

Unit cell a=4.0305 b=4.0305 c=15.9829 alpha=90.00 beta=90.00 gamma=90.00
Closest atoms and distances in Å follow each position.
Element x y z (fractional)
Mn  0.0000  0.0000  0.0000  12 Pt 2.76-2.85
In  0.0000  0.0000  0.2462  12 Pt 2.85-2.87
In  0.0000  0.0000  0.5000  12 Pt 2.85-2.86
In  0.0000  0.0000  0.7538  12 Pt 2.85-2.87
Pt  0.0000  0.5000  0.1179  8 Pt 2.76-2.86, 2 Mn 2.76, 2 In 2.87
Pt  0.0000  0.5000  0.3728  8 Pt 2.85-2.87, 4 In 2.86
Pt  0.0000  0.5000  0.6272  8 Pt 2.85-2.87, 4 In 2.86
Pt  0.0000  0.5000  0.8821  2 Mn 2.76, 8 Pt 2.76-2.86, 2 In 2.87
Pt  0.5000  0.0000  0.1179  8 Pt 2.76-2.86, 2 Mn 2.76, 2 In 2.87
Pt  0.5000  0.0000  0.3728  8 Pt 2.85-2.87, 4 In 2.86
Pt  0.5000  0.0000  0.6272  8 Pt 2.85-2.87, 4 In 2.86
Pt  0.5000  0.0000  0.8821  2 Mn 2.76, 8 Pt 2.76-2.86, 2 In 2.87
Pt  0.5000  0.5000  0.0000  8 Pt 2.76, 4 Mn 2.85
Pt  0.5000  0.5000  0.2453  4 In 2.85, 8 Pt 2.86-2.87
Pt  0.5000  0.5000  0.5000  4 In 2.85, 8 Pt 2.86
Pt  0.5000  0.5000  0.7547  4 In 2.85, 8 Pt 2.86-2.87

---

Th4RePd: relaxed, PBE.

Its formation energy from the elements is -0.280 eV per atom. The value obtained for the total magnetic moment is 0.00 μB/f.u.

Unit cell a=7.2874 b=7.2874 c=6.0148 alpha=90.00 beta=90.00 gamma=90.00
Closest atoms and distances in Å follow each position.
Element x y z (fractional)
Th  0.1569  0.3253  0.0000  2 Re 3.03, 2 Pd 3.18
Th  0.1569  0.6747  0.5000  2 Re 3.03, 2 Pd 3.18
Th  0.3253  0.1569  0.5000  2 Re 3.03, 2 Pd 3.18
Th  0.3253  0.8431  0.0000  2 Re 3.03, 2 Pd 3.18
Th  0.6747  0.1569  0.0000  2 Re 3.03, 2 Pd 3.18
Th  0.6747  0.8431  0.5000  2 Re 3.03, 2 Pd 3.18
Th  0.8431  0.3253  0.5000  2 Re 3.03, 2 Pd 3.18
Th  0.8431  0.6747  0.0000  2 Re 3.03, 2 Pd 3.18
Re  0.0000  0.0000  0.2500  2 Re 3.01, 8 Th 3.03
Re  0.0000  0.0000  0.7500  2 Re 3.01, 8 Th 3.03
Pd  0.5000  0.5000  0.2500  2 Pd 3.01, 8 Th 3.18
Pd  0.5000  0.5000  0.7500  2 Pd 3.01, 8 Th 3.18

---

Rb3In6Au5: relaxed, PBE.

Its formation energy from the elements is -0.243 eV per atom. The value obtained for the total magnetic moment is 0.00 μB/f.u.

Unit cell a=4.6625 b=14.3030 c=12.3088 alpha=90.00 beta=90.00 gamma=90.00
Closest atoms and distances in Å follow each position.
Element x y z (fractional)
Rb  0.2500  0.1079  0.2429  6 Au 3.60-3.80, 6 In 3.62-4.02
Rb  0.2500  0.3921  0.2429  6 Au 3.60-3.80, 6 In 3.62-4.02
Rb  0.2500  0.7500  0.2676  6 Au 3.47-3.69, 4 In 3.60-3.82
Rb  0.7500  0.2500  0.7324  6 Au 3.47-3.69, 4 In 3.60-3.82
Rb  0.7500  0.6079  0.7571  6 Au 3.60-3.80, 6 In 3.62-4.02
Rb  0.7500  0.8921  0.7571  6 Au 3.60-3.80, 6 In 3.62-4.02
In  0.2500  0.0518  0.5996  4 Au 2.85-2.97, 1 In 3.16
In  0.2500  0.2500  0.4861  4 Au 2.86, 2 In 3.16
In  0.2500  0.2500  0.9552  4 Au 2.78-2.94
In  0.2500  0.4482  0.5996  4 Au 2.85-2.97, 1 In 3.16
In  0.2500  0.5722  0.0204  4 Au 2.82-3.05, 2 In 3.16
In  0.2500  0.9278  0.0204  4 Au 2.82-3.05, 2 In 3.16
In  0.7500  0.0722  0.9796  4 Au 2.82-3.05, 2 In 3.16
In  0.7500  0.4278  0.9796  4 Au 2.82-3.05, 2 In 3.16
In  0.7500  0.5518  0.4004  4 Au 2.85-2.97, 1 In 3.16
In  0.7500  0.7500  0.0448  4 Au 2.78-2.94
In  0.7500  0.7500  0.5139  4 Au 2.86, 2 In 3.16
In  0.7500  0.9482  0.4004  4 Au 2.85-2.97, 1 In 3.16
Au  0.2500  0.0713  0.8373  5 In 2.92-3.05
Au  0.2500  0.4287  0.8373  5 In 2.92-3.05
Au  0.2500  0.6339  0.5151  5 In 2.85-2.97
Au  0.2500  0.7500  0.9215  4 In 2.78-2.82
Au  0.2500  0.8661  0.5151  5 In 2.85-2.97
Au  0.7500  0.1339  0.4849  5 In 2.85-2.97
Au  0.7500  0.2500  0.0785  4 In 2.78-2.82
Au  0.7500  0.3661  0.4849  5 In 2.85-2.97
Au  0.7500  0.5713  0.1627  5 In 2.92-3.05
Au  0.7500  0.9287  0.1627  5 In 2.92-3.05

---

Ac2Zn3SbPt4: relaxed, PBE.

The value obtained for the raw formation energy is -838 meV per atom. The value obtained for the total magnetic moment is 0.00 μB/f.u.

Unit cell a=4.5895 b=4.5895 c=10.1992 alpha=90.00 beta=90.00 gamma=90.00
Closest atoms and distances in Å follow each position.
Element x y z (fractional)
Ac  0.0000  0.5000  0.2321  8 Pt 3.30-3.53, 7 Zn 3.45-3.58, 2 Sb 3.57
Ac  0.5000  0.0000  0.7679  8 Pt 3.30-3.53, 7 Zn 3.45-3.58, 2 Sb 3.57
Zn  0.0000  0.5000  0.8814  5 Pt 2.55-2.59
Zn  0.5000  0.0000  0.1186  5 Pt 2.55-2.59
Zn  0.5000  0.5000  0.5000  4 Pt 2.66
Sb  0.0000  0.0000  0.5000  4 Pt 2.66
Pt  0.0000  0.0000  0.0000  4 Zn 2.59
Pt  0.0000  0.5000  0.6318  3 Zn 2.55-2.66, 2 Sb 2.66
Pt  0.5000  0.0000  0.3682  3 Zn 2.55-2.66, 2 Sb 2.66
Pt  0.5000  0.5000  0.0000  4 Zn 2.59

---

Ca2MgTlRh: relaxed, PBE.

Its formation energy from the elements is -0.154 eV per atom. The value obtained for the total magnetic moment is 0.00 μB/f.u.

Unit cell a=5.3966 b=5.3966 c=5.3202 alpha=90.00 beta=90.00 gamma=90.00
Closest atoms and distances in Å follow each position.
Element x y z (fractional)
Ca  0.0000  0.5000  0.0000  2 Rh 2.70
Ca  0.5000  0.0000  0.0000  2 Rh 2.70
Mg  0.0000  0.0000  0.5000  8 Ca 3.79, 4 Tl 3.82
Tl  0.5000  0.5000  0.5000  2 Rh 2.66
Rh  0.5000  0.5000  0.0000  2 Tl 2.66, 4 Ca 2.70

---

SmMnC: relaxed, PBE.

Its formation energy from the elements is -0.174 eV per atom. The value obtained for the total magnetic moment is 1.12 μB/f.u.

Unit cell a=3.3794 b=3.3794 c=8.4088 alpha=90.00 beta=90.00 gamma=90.00
Closest atoms and distances in Å follow each position.
Element x y z (fractional)
Sm  0.2500  0.2500  0.2023  4 C 2.75, 4 Mn 3.02
Sm  0.7500  0.7500  0.7978  4 C 2.75, 4 Mn 3.02
Mn  0.2500  0.7500  0.5000  4 C 2.04
Mn  0.7500  0.2500  0.5000  4 C 2.04
C  0.2500  0.2500  0.6366  4 Mn 2.04
C  0.7500  0.7500  0.3634  4 Mn 2.04

---

Sn3SbH: relaxed, PBE.

The value obtained for the calculated total energy is -3.623 eV per atom. The value obtained for the total magnetic moment is 0.00 μB/f.u.

Unit cell a=4.8522 b=4.8522 c=4.8522 alpha=90.00 beta=90.00 gamma=90.00
Closest atoms and distances in Å follow each position.
Element x y z (fractional)
Sn  0.0000  0.0000  0.5000  2 H 2.43
Sn  0.0000  0.5000  0.0000  2 H 2.43
Sn  0.5000  0.0000  0.0000  2 H 2.43
Sb  0.5000  0.5000  0.5000  12 Sn 3.43
H  0.0000  0.0000  0.0000  6 Sn 2.43

---

BeTl3: relaxed, PBE.

Its formation energy from the elements is 0.509 eV per atom. The value obtained for the total magnetic moment is 0.00 μB/f.u.

Unit cell a=7.9173 b=7.9173 c=7.9782 alpha=90.00 beta=90.00 gamma=120.00
Closest atoms and distances in Å follow each position.
Element x y z (fractional)
Be  0.0000  0.0000  0.0000  6 Tl 2.74
Be  0.0000  0.0000  0.5000  6 Tl 2.74
Be  0.3333  0.6667  0.2500  6 Tl 3.03
Be  0.6667  0.3333  0.7500  6 Tl 3.03
Tl  0.0000  0.5000  0.0000  2 Be 3.03, 4 Tl 3.21
Tl  0.0000  0.5000  0.5000  2 Be 3.03, 4 Tl 3.21
Tl  0.1374  0.2749  0.7500  2 Be 2.74
Tl  0.1374  0.8626  0.7500  2 Be 2.74
Tl  0.2749  0.1374  0.2500  2 Be 2.74
Tl  0.5000  0.0000  0.0000  2 Be 3.03, 4 Tl 3.21
Tl  0.5000  0.0000  0.5000  2 Be 3.03, 4 Tl 3.21
Tl  0.5000  0.5000  0.0000  2 Be 3.03, 4 Tl 3.21
Tl  0.5000  0.5000  0.5000  2 Be 3.03, 4 Tl 3.21
Tl  0.7251  0.8626  0.7500  2 Be 2.74
Tl  0.8626  0.1374  0.2500  2 Be 2.74
Tl  0.8626  0.7251  0.2500  2 Be 2.74